# TaIn2Re PBE optimized geometry
data_TaIn2Re
_chemical_formula_sum 'Ta2 In4 Re2'
_symmetry_space_group_name_H-M 'C m m 2'
_symmetry_Int_Tables_number 35
_cell_length_a 3.3096
_cell_length_b 4.9865
_cell_length_c 9.9385
_cell_angle_alpha 90.00
_cell_angle_beta 90.00
_cell_angle_gamma 90.00
loop_
_symmetry_equiv_pos_as_xyz
'x,y,z'
'-x,-y,z'
'-x,y,z'
'x,-y,z'
'x+1/2,y+1/2,z'
'-x+1/2,-y+1/2,z'
'-x+1/2,y+1/2,z'
'x+1/2,-y+1/2,z'
loop_
_atom_site_label
_atom_site_type_symbol
_atom_site_fract_x
_atom_site_fract_y
_atom_site_fract_z
Ta1 Ta 0.0000 0.0000 0.0000
In1 In 0.0000 0.0000 0.4416
In2 In 0.0000 0.5000 0.7411
Re1 Re 0.0000 0.5000 0.1965
# final energy: -7.118 eV per atom
# energy relative to the lowest polymorph listed for this composition: 122.5 meV per atom

=====

# TaIn2Re PBE optimized geometry
data_TaIn2Re
_chemical_formula_sum 'Ta1 In2 Re1'
_symmetry_space_group_name_H-M 'P 1 2/m 1'
_symmetry_Int_Tables_number 10
_cell_length_a 2.9465
_cell_length_b 4.7526
_cell_length_c 5.4312
_cell_angle_alpha 90.00
_cell_angle_beta 98.15
_cell_angle_gamma 90.00
loop_
_symmetry_equiv_pos_as_xyz
'x,y,z'
'-x,-y,-z'
'-x,y,-z'
'x,-y,z'
loop_
_atom_site_label
_atom_site_type_symbol
_atom_site_fract_x
_atom_site_fract_y
_atom_site_fract_z
Ta1 Ta 0.0000 0.0000 0.0000
In1 In 0.3168 0.5000 0.7458
Re1 Re 0.5000 0.0000 0.5000
# final energy: -6.967 eV per atom
# energy relative to the lowest polymorph listed for this composition: 273.7 meV per atom

=====

# TaIn2Re PBE optimized geometry
data_TaIn2Re
_chemical_formula_sum 'Ta2 In4 Re2'
_symmetry_space_group_name_H-M 'I m m 2'
_symmetry_Int_Tables_number 44
_cell_length_a 3.3963
_cell_length_b 4.7777
_cell_length_c 9.5025
_cell_angle_alpha 90.00
_cell_angle_beta 90.00
_cell_angle_gamma 90.00
loop_
_symmetry_equiv_pos_as_xyz
'x,y,z'
'-x,-y,z'
'-x,y,z'
'x,-y,z'
'x+1/2,y+1/2,z+1/2'
'-x+1/2,-y+1/2,z+1/2'
'-x+1/2,y+1/2,z+1/2'
'x+1/2,-y+1/2,z+1/2'
loop_
_atom_site_label
_atom_site_type_symbol
_atom_site_fract_x
_atom_site_fract_y
_atom_site_fract_z
Ta1 Ta 0.0000 0.0000 0.0000
In1 In 0.0000 0.0000 0.5411
In2 In 0.0000 0.5000 0.7670
Re1 Re 0.0000 0.5000 0.2948
# final energy: -7.071 eV per atom
# energy relative to the lowest polymorph listed for this composition: 169.7 meV per atom

=====

# TaIn2Re PBE optimized geometry
data_TaIn2Re
_chemical_formula_sum 'Ta2 In4 Re2'
_symmetry_space_group_name_H-M 'C m m m'
_symmetry_Int_Tables_number 65
_symmetry_space_group_name_Hall '-C 2 2'
_cell_length_a 3.1947
_cell_length_b 4.9555
_cell_length_c 9.5596
_cell_angle_alpha 90.00
_cell_angle_beta 90.00
_cell_angle_gamma 90.00
loop_
_atom_site_label
_atom_site_type_symbol
_atom_site_fract_x
_atom_site_fract_y
_atom_site_fract_z
Ta1 Ta 0.0000 0.0000 0.0000
In1 In 0.0000 0.5000 0.2580
Re1 Re 0.0000 0.0000 0.5000
# final energy: -6.888 eV per atom
# energy relative to the lowest polymorph listed for this composition: 353.4 meV per atom